[1]
DFT (PBE-GGA) results for a relaxed SrAc6Pr4 crystal.

For the final energy, the calculation gives -3.8377 eV/atom. The spin magnetization comes out at 0.0 Bohr magnetons per cell.

```
SrAc6Pr4
1.0
10.130 0.000 0.000
-5.065 8.773 0.000
0.000 0.000 5.671
Sr Ac Pr
1 6 4
Cartesian
0.000 0.000 0.000 Sr
0.000 3.543 2.835 Ac
-1.996 7.001 2.835 Ac
5.065 0.523 0.000 Ac
2.986 4.125 0.000 Ac
1.996 7.001 2.835 Ac
7.144 4.125 0.000 Ac
0.000 5.849 0.000 Pr
3.225 1.862 2.835 Pr
6.906 1.862 2.835 Pr
5.065 5.049 2.835 Pr
```



[2]
DFT (PBE-GGA) results for a relaxed SrAcPr crystal.

The energy above the lowest structure with this stoichiometry is 0.000 eV/atom. The spin magnetization comes out at 0.0 Bohr magnetons per cell.

```
SrAcPr
1.0
3.968 0.000 0.000
0.000 3.968 0.000
0.000 0.000 16.858
Sr Ac Pr
2 2 2
Cartesian
0.000 0.000 0.000 Sr
1.984 1.984 8.429 Sr
0.000 0.000 11.516 Ac
1.984 1.984 3.087 Ac
0.000 0.000 5.552 Pr
1.984 1.984 13.982 Pr
```



[3]
DFT (PBE-GGA) results for a relaxed Sr2AcPr crystal.

The energy above the lowest structure with this stoichiometry is 0.117 eV/atom. The spin magnetization comes out at 0.0 Bohr magnetons per cell.

```
Sr2AcPr
1.0
9.018 0.000 0.000
0.000 9.018 0.000
0.000 0.000 9.018
Sr Ac Pr
8 4 4
Cartesian
2.254 2.254 2.254 Sr
2.254 2.254 6.763 Sr
2.254 6.763 2.254 Sr
2.254 6.763 6.763 Sr
6.763 2.254 2.254 Sr
6.763 2.254 6.763 Sr
6.763 6.763 2.254 Sr
6.763 6.763 6.763 Sr
0.000 0.000 0.000 Ac
0.000 4.509 4.509 Ac
4.509 0.000 4.509 Ac
4.509 4.509 0.000 Ac
0.000 0.000 4.509 Pr
0.000 4.509 0.000 Pr
4.509 0.000 0.000 Pr
4.509 4.509 4.509 Pr
```



[4]
DFT (PBE-GGA) results for a relaxed SrAcPr2 crystal.

The energy above the lowest structure with this stoichiometry is 0.000 eV/atom. The spin magnetization comes out at 0.0 Bohr magnetons per cell.

```
SrAcPr2
1.0
3.885 0.000 0.000
0.000 3.885 0.000
0.000 0.000 11.074
Sr Ac Pr
1 1 2
Cartesian
0.000 0.000 0.000 Sr
0.000 0.000 5.537 Ac
1.943 1.943 2.959 Pr
1.943 1.943 8.115 Pr
```



Repeat the second record exactly.
DFT (PBE-GGA) results for a relaxed SrAcPr crystal.

The energy above the lowest structure with this stoichiometry is 0.000 eV/atom. The spin magnetization comes out at 0.0 Bohr magnetons per cell.

```
SrAcPr
1.0
3.968 0.000 0.000
0.000 3.968 0.000
0.000 0.000 16.858
Sr Ac Pr
2 2 2
Cartesian
0.000 0.000 0.000 Sr
1.984 1.984 8.429 Sr
0.000 0.000 11.516 Ac
1.984 1.984 3.087 Ac
0.000 0.000 5.552 Pr
1.984 1.984 13.982 Pr
```